1.
Density functional theory data (PBE) for a relaxed structure of Cs2PdS2.

Cell: 11.160 11.160 11.160 Å, 160.73 160.73 27.39°
Atoms (fractional coordinates):
1 Cs 0.115 0.115 0.000
2 Cs 0.885 0.885 0.000
3 Pd 0.500 0.500 0.000
4 S 0.250 0.750 0.500
5 S 0.750 0.250 0.500

Output
final energy	-15.104	eV per cell
symmetry	I4/mmm (139)
formation energy (no corrections)	0.010	eV/atom


2.
Density functional theory data (PBE) for a relaxed structure of CsPdS.

Cell: 4.135 4.135 5.604 Å, 90.00 90.00 120.00°
Atoms (fractional coordinates):
1 Cs 0.000 0.000 0.000
2 Pd 0.667 0.333 0.500
3 S 0.333 0.667 0.500

Output
final energy	-12.038	eV per cell
symmetry	P-6m2 (187)
formation energy (no corrections)	-0.621	eV/atom
energy above the most stable polymorph in this dataset	0.096	eV/atom


3.
Density functional theory data (PBE) for a relaxed structure of CsPd2S.

Cell: 8.368 8.368 8.368 Å, 141.20 141.20 56.03°
Atoms (fractional coordinates):
1 Cs 0.375 0.625 0.750
2 Cs 0.625 0.375 0.250
3 Pd 0.000 0.000 0.000
4 Pd 0.000 0.000 0.500
5 Pd 0.000 0.500 0.000
6 Pd 0.500 0.000 0.500
7 S 0.125 0.875 0.250
8 S 0.875 0.125 0.750

Output
final energy	-34.854	eV per cell
symmetry	I4_1/amd (141)
formation energy (no corrections)	-0.515	eV/atom


4.
Density functional theory data (PBE) for a relaxed structure of CsPdS.

Cell: 7.974 7.974 4.390 Å, 90.00 90.00 134.64°
Atoms (fractional coordinates):
1 Cs 0.152 0.848 0.750
2 Cs 0.848 0.152 0.250
3 Pd 0.446 0.554 0.250
4 Pd 0.554 0.446 0.750
5 S 0.386 0.614 0.750
6 S 0.614 0.386 0.250

Output
final energy	-24.443	eV per cell
symmetry	Cmcm (63)
formation energy (no corrections)	-0.683	eV/atom
energy above the most stable polymorph in this dataset	0.035	eV/atom


5.
Density functional theory data (PBE) for a relaxed structure of Cs2PdS3.

Cell: 7.768 7.768 6.779 Å, 92.88 92.88 70.93°
Atoms (fractional coordinates):
1 Cs 0.001 0.688 0.783
2 Cs 0.312 0.999 0.717
3 Cs 0.688 0.001 0.283
4 Cs 0.999 0.312 0.217
5 Pd 0.445 0.555 0.250
6 Pd 0.555 0.445 0.750
7 S 0.178 0.822 0.250
8 S 0.361 0.393 0.493
9 S 0.393 0.361 0.993
10 S 0.607 0.639 0.007
11 S 0.639 0.607 0.507
12 S 0.822 0.178 0.750

Output
final energy	-45.604	eV per cell
symmetry	C2/c (15)
formation energy (no corrections)	-0.587	eV/atom


6.
Density functional theory data (PBE) for a relaxed structure of Cs3PdS.

Cell: 6.671 6.671 6.671 Å, 90.00 90.00 90.00°
Atoms (fractional coordinates):
1 Cs 0.000 0.000 0.500
2 Cs 0.000 0.500 0.000
3 Cs 0.500 0.000 0.000
4 Pd 0.500 0.500 0.500
5 S 0.000 0.000 0.000

Output
final energy	-12.809	eV per cell
symmetry	Pm-3m (221)
formation energy (no corrections)	-0.186	eV/atom
energy above the most stable polymorph in this dataset	0.000	eV/atom


7.
Density functional theory data (PBE) for a relaxed structure of CsPdS.

Cell: 6.594 6.594 6.594 Å, 148.36 148.36 45.35°
Atoms (fractional coordinates):
1 Cs 0.000 0.000 0.000
2 Pd 0.260 0.260 0.000
3 S 0.728 0.728 0.000

Output
final energy	-11.297	eV per cell
symmetry	I4mm (107)
formation energy (no corrections)	-0.374	eV/atom
energy above the most stable polymorph in this dataset	0.343	eV/atom


8.
Density functional theory data (PBE) for a relaxed structure of Cs2PdS2.

Cell: 7.382 11.047 3.723 Å, 90.00 90.00 90.00°
Atoms (fractional coordinates):
1 Cs 0.069 0.170 0.000
2 Cs 0.431 0.670 0.000
3 Cs 0.569 0.330 0.000
4 Cs 0.931 0.830 0.000
5 Pd 0.000 0.500 0.000
6 Pd 0.500 0.000 0.000
7 S 0.187 0.439 0.500
8 S 0.313 0.939 0.500
9 S 0.687 0.061 0.500
10 S 0.813 0.561 0.500

Output
final energy	-38.755	eV per cell
symmetry	Pbam (55)
formation energy (no corrections)	-0.845	eV/atom


Computed values of magnetization (unit: μB per atom) for the preceding records, in sequence: 0.00; 0.00; 0.00; 0.00; 0.00; 0.22; 0.00; 0.00.